Computed, not measured: PmNiPdAu after structural relaxation at the PBE level of DFT.

Cell: 4.7090 4.7090 4.7090 Å, 60.00 60.00 60.00°
Last column: nearest neighbours and their distance in Å.
Fractional coordinates of all 4 atoms:
Ni  0.2500  0.2500  0.2500  4 Pm 2.88, 4 Au 2.88
Au  0.0000  0.0000  0.0000  4 Ni 2.88, 4 Pd 2.88
Pd  0.7500  0.7500  0.7500  4 Au 2.88, 4 Pm 2.88
Pm  0.5000  0.5000  0.5000  4 Pd 2.88, 4 Ni 2.88

Calculated values
Formation energy from the elements: -0.434 eV per atom
DOS(E_F): 2.40 states/eV per cell
Crystal system: cubic
E_tot: -5.184 eV/atom
Symmetry: F-43m
Theoretical density: 11.40 g/cm³